P) # ScTaRh (GGA-PBEsol, relaxed)
# Magnetization, μB/cell: 0.00
data_ScTaRh
_cell_length_a 6.115
_cell_length_b 6.115
_cell_length_c 6.115
_cell_angle_alpha 90.00
_cell_angle_beta 90.00
_cell_angle_gamma 90.00
_symmetry_space_group_name_H-M 'F -4 3 m'
_symmetry_Int_Tables_number 216
_symmetry_space_group_name_Hall 'F -4 2 3'
loop_
_atom_site_label
_atom_site_type_symbol
_atom_site_fract_x
_atom_site_fract_y
_atom_site_fract_z
Sc1 Sc 0.000 0.000 0.000
Ta1 Ta 0.250 0.250 0.250
Rh1 Rh 0.000 0.000 0.500



Q) # ScTaRh (GGA-PBEsol, relaxed)
# Magnetization, μB/cell: 0.00
data_ScTaRh
_cell_length_a 3.0185
_cell_length_b 3.0185
_cell_length_c 6.5865
_cell_angle_alpha 90.00
_cell_angle_beta 90.00
_cell_angle_gamma 120.00
_symmetry_space_group_name_H-M 'P 3 m 1'
_symmetry_Int_Tables_number 156
_symmetry_space_group_name_Hall 'P 3 -2"'
loop_
_atom_site_label
_atom_site_type_symbol
_atom_site_fract_x
_atom_site_fract_y
_atom_site_fract_z
Sc1 Sc 0.0000 0.0000 0.0000
Ta1 Ta 0.3333 0.6667 0.6319
Rh1 Rh 0.6667 0.3333 0.3291



Winner for stability: Q)



P) # ScRhW2 (GGA-PBEsol, relaxed)
# Magnetization, μB/cell: 0.00
data_ScRhW2
_cell_length_a 2.8515
_cell_length_b 2.8515
_cell_length_c 27.4472
_cell_angle_alpha 90.00
_cell_angle_beta 90.00
_cell_angle_gamma 120.00
_symmetry_space_group_name_H-M 'R 3 m'
_symmetry_Int_Tables_number 160
_symmetry_space_group_name_Hall 'R 3 -2"'
loop_
_atom_site_label
_atom_site_type_symbol
_atom_site_fract_x
_atom_site_fract_y
_atom_site_fract_z
Sc1 Sc 0.0000 0.0000 0.0000
Rh1 Rh 0.0000 0.0000 0.2509
W1 W 0.0000 0.0000 0.5081
W2 W 0.0000 0.0000 0.7552



Q) # ScRhW2 (GGA-PBEsol, relaxed)
# Magnetization, μB/cell: 0.00
data_ScRhW2
_cell_length_a 5.267
_cell_length_b 9.160
_cell_length_c 2.760
_cell_angle_alpha 90.00
_cell_angle_beta 108.58
_cell_angle_gamma 90.00
_symmetry_space_group_name_H-M 'C 1 2/m 1'
_symmetry_Int_Tables_number 12
_symmetry_space_group_name_Hall '-C 2y'
loop_
_atom_site_label
_atom_site_type_symbol
_atom_site_fract_x
_atom_site_fract_y
_atom_site_fract_z
Sc1 Sc 0.000 0.000 0.000
Rh1 Rh 0.000 0.500 0.000
W1 W 0.250 0.250 0.500



R) # ScRhW2 (GGA-PBEsol, relaxed)
# Magnetization, μB/cell: 0.00
data_ScRhW2
_cell_length_a 6.289
_cell_length_b 6.289
_cell_length_c 6.289
_cell_angle_alpha 90.00
_cell_angle_beta 90.00
_cell_angle_gamma 90.00
_symmetry_space_group_name_H-M 'F m -3 m'
_symmetry_Int_Tables_number 225
_symmetry_space_group_name_Hall '-F 4 2 3'
loop_
_atom_site_label
_atom_site_type_symbol
_atom_site_fract_x
_atom_site_fract_y
_atom_site_fract_z
Sc1 Sc 0.000 0.000 0.000
Rh1 Rh 0.000 0.000 0.500
W1 W 0.250 0.250 0.250



Winner for stability: Q)



P) # ScRhW (GGA-PBEsol, relaxed)
# Magnetization, μB/cell: 0.00
data_ScRhW
_cell_length_a 6.042
_cell_length_b 6.042
_cell_length_c 6.042
_cell_angle_alpha 90.00
_cell_angle_beta 90.00
_cell_angle_gamma 90.00
_symmetry_space_group_name_H-M 'F -4 3 m'
_symmetry_Int_Tables_number 216
_symmetry_space_group_name_Hall 'F -4 2 3'
loop_
_atom_site_label
_atom_site_type_symbol
_atom_site_fract_x
_atom_site_fract_y
_atom_site_fract_z
Sc1 Sc 0.000 0.000 0.000
Rh1 Rh 0.000 0.000 0.500
W1 W 0.250 0.250 0.250



Q) # ScRhW (GGA-PBEsol, relaxed)
# Magnetization, μB/cell: 0.00
data_ScRhW
_cell_length_a 4.4587
_cell_length_b 4.4587
_cell_length_c 2.8060
_cell_angle_alpha 90.00
_cell_angle_beta 90.00
_cell_angle_gamma 120.00
_symmetry_space_group_name_H-M 'P 3 m 1'
_symmetry_Int_Tables_number 156
_symmetry_space_group_name_Hall 'P 3 -2"'
loop_
_atom_site_label
_atom_site_type_symbol
_atom_site_fract_x
_atom_site_fract_y
_atom_site_fract_z
Sc1 Sc 0.0000 0.0000 0.0000
Rh1 Rh 0.3333 0.6667 0.3740
W1 W 0.6667 0.3333 0.6004



Winner for stability: Q)



P) # Rh2Se (GGA-PBEsol, relaxed)
# Magnetization, μB/cell: 0.00
data_Rh2Se
_cell_length_a 4.2912
_cell_length_b 4.2912
_cell_length_c 2.8610
_cell_angle_alpha 90.00
_cell_angle_beta 90.00
_cell_angle_gamma 120.00
_symmetry_space_group_name_H-M 'P 6/m m m'
_symmetry_Int_Tables_number 191
_symmetry_space_group_name_Hall '-P 6 2'
loop_
_atom_site_label
_atom_site_type_symbol
_atom_site_fract_x
_atom_site_fract_y
_atom_site_fract_z
Rh1 Rh 0.3333 0.6667 0.0000
Se1 Se 0.0000 0.0000 0.5000



Q) # Rh2Se (GGA-PBEsol, relaxed)
# Magnetization, μB/cell: 0.00
data_Rh2Se
_cell_length_a 3.712
_cell_length_b 14.721
_cell_length_c 3.920
_cell_angle_alpha 90.00
_cell_angle_beta 90.00
_cell_angle_gamma 90.00
_symmetry_space_group_name_H-M 'C m c m'
_symmetry_Int_Tables_number 63
_symmetry_space_group_name_Hall '-C 2c 2'
loop_
_atom_site_label
_atom_site_type_symbol
_atom_site_fract_x
_atom_site_fract_y
_atom_site_fract_z
Rh1 Rh 0.000 0.060 0.250
Rh2 Rh 0.000 0.431 0.250
Se1 Se 0.000 0.334 0.750



R) # Rh2Se (GGA-PBEsol, relaxed)
# Magnetization, μB/cell: 0.00
data_Rh2Se
_cell_length_a 5.147
_cell_length_b 5.147
_cell_length_c 7.132
_cell_angle_alpha 90.00
_cell_angle_beta 90.00
_cell_angle_gamma 90.00
_symmetry_space_group_name_H-M 'I 4/m c m'
_symmetry_Int_Tables_number 140
_symmetry_space_group_name_Hall '-I 4 2c'
loop_
_atom_site_label
_atom_site_type_symbol
_atom_site_fract_x
_atom_site_fract_y
_atom_site_fract_z
Rh1 Rh 0.186 0.314 0.000
Se1 Se 0.000 0.000 0.250



Winner for stability: Q)